VASP calculation (PBE) on a relaxed structure of GaIr3I.

Cell: 4.9099 4.9099 4.9099 Å, 90.00 90.00 90.00°
With the nearest neighbours (Å) after each atom.
Fractional coordinates of all 5 atoms:
Ga (0.0000, 0.0000, 0.0000)  12 Ir 3.47
Ir (0.0000, 0.5000, 0.5000)  2 I 2.45
Ir (0.5000, 0.0000, 0.5000)  2 I 2.45
Ir (0.5000, 0.5000, 0.0000)  2 I 2.45
I (0.5000, 0.5000, 0.5000)  6 Ir 2.45

## Properties
ΔE to the lowest computed polymorph	2.52	eV per formula unit
calculated total energy	-21.435	eV/cell
size of the total moment	1.88	μB/f.u.